<A>
# BaLi2Cr

A relaxed structure of BaLi2Cr (PBE, Alexandria via LeMat-Bulk).

Unit cell a=3.8537 b=3.8537 c=7.4276 alpha=90.00 beta=90.00 gamma=90.00
Last column: nearest neighbours and their distance in Å.
Fractional coordinates of all 4 atoms:
Ba 0.5000 0.5000 0.2500  8 Li 3.64, 2 Cr 3.71, 4 Ba 3.85
Cr 0.5000 0.5000 0.7500  8 Li 3.02
Li 0.0000 0.0000 0.9243  1 Li 2.59
Li 0.0000 0.0000 0.5757  1 Li 2.59

Calculated values
N(E_F): 2.701 states/eV per cell
calculated volume: 110 Å³/f.u.

<B>
# BaLi2Cr

A relaxed structure of BaLi2Cr (PBE, Alexandria via LeMat-Bulk).

Unit cell a=5.0730 b=5.0730 c=6.2049 alpha=70.76 beta=70.76 gamma=54.01
Last column: nearest neighbours and their distance in Å.
Fractional coordinates of all 4 atoms:
Ba 0.7500 0.7500 0.7500  8 Li 3.48-3.72, 4 Cr 3.86
Cr 0.2500 0.2500 0.2500  6 Li 2.86-2.98
Li 0.9516 0.9516 0.1509  3 Cr 2.86-2.98, 2 Li 2.89
Li 0.5484 0.5484 0.3491  3 Cr 2.86-2.98, 2 Li 2.89

Calculated values
N(E_F): 3.363 states/eV per cell
calculated volume: 120 Å³/f.u.

<C>
# BaLi2Cr

A relaxed structure of BaLi2Cr (PBE, Alexandria via LeMat-Bulk).

Unit cell a=10.0473 b=10.0473 c=10.0473 alpha=21.14 beta=21.14 gamma=21.14
Last column: nearest neighbours and their distance in Å.
Fractional coordinates of all 4 atoms:
Ba 0.2500 0.2500 0.2500  6 Li 3.66, 6 Ba 3.69
Cr 0.7500 0.7500 0.7500  6 Li 2.87
Li 0.0178 0.0178 0.0178  3 Cr 2.87
Li 0.4822 0.4822 0.4822  3 Cr 2.87

Calculated values
N(E_F): 3.728 states/eV per cell
calculated volume: 116 Å³/f.u.

How far above the most stable structure does each one sit? In meV/atom: <A> 38; <B> 0; <C> 227.

<A>
# Ba2LiCr

A relaxed structure of Ba2LiCr (PBE, Alexandria via LeMat-Bulk).

Unit cell a=6.8273 b=6.8273 c=6.8273 alpha=135.87 beta=135.87 gamma=64.19
Last column: nearest neighbours and their distance in Å.
Fractional coordinates of all 4 atoms:
Ba 0.0000 0.0000 0.0000  4 Cr 3.63, 4 Li 3.87, 4 Ba 3.87
Ba 0.2500 0.7500 0.5000  4 Li 3.63, 4 Ba 3.87, 4 Cr 3.87
Cr 0.5000 0.5000 0.0000  8 Ba 3.63-3.87, 4 Li 3.87
Li 0.7500 0.2500 0.5000  8 Ba 3.63-3.87, 4 Cr 3.87

Calculated values
N(E_F): 3.988 states/eV per cell
calculated volume: 152 Å³/f.u.

<B>
# Ba2LiCr

A relaxed structure of Ba2LiCr (PBE, Alexandria via LeMat-Bulk).

Unit cell a=4.6527 b=4.6527 c=10.1526 alpha=82.90 beta=82.90 gamma=50.61
Last column: nearest neighbours and their distance in Å.
Fractional coordinates of all 4 atoms:
Ba 0.9899 0.9899 0.0269  3 Cr 3.36-3.45, 1 Li 3.68
Ba 0.5101 0.5101 0.4731  3 Cr 3.36-3.45, 1 Li 3.68
Cr 0.2500 0.2500 0.2500  6 Ba 3.36-3.45
Li 0.7500 0.7500 0.7500  6 Ba 3.68-3.87, 2 Li 3.98

Calculated values
N(E_F): 4.710 states/eV per cell
calculated volume: 168 Å³/f.u.

How far above the most stable structure does each one sit? In meV/atom: <A> 0; <B> 75.